No. 1
## CsNiS (PBE-GGA)

Data for a relaxed CsNiS crystal.

## Properties
Symmetry: I4mm (107)
ΔE_f (raw) in eV per atom: -0.1550

abc: 3.398 3.398 6.545
angles: 105.05 105.05 90.00
Last column: magnetic moment on the atom in μB.
Positions (direct):
1 S 0.733 0.733 0.467  0.01
2 Ni 0.261 0.261 0.523  0.14
3 Cs 0.005 0.005 0.010  0.00

No. 2
## Cs2NiS (PBE-GGA)

Data for a relaxed Cs2NiS crystal.

## Properties
Symmetry: I-42d (122)
ΔE_f (raw) in eV per atom: 0.4698
Energy relative to the lowest polymorph listed for this composition in meV/atom: 202

abc: 11.467 11.467 11.467
angles: 150.77 150.77 41.81
Last column: magnetic moment on the atom in μB.
Positions (direct):
1 S 0.500 0.500 0.000  0.09
2 S 0.250 0.750 0.500  0.09
3 Cs 0.617 0.125 0.992  0.00
4 Cs 0.133 0.625 0.008  0.00
5 Cs 0.375 0.383 0.508  0.00
6 Cs 0.875 0.867 0.492  0.00
7 Ni 0.750 0.250 0.500  1.01
8 Ni 0.000 0.000 0.000  1.01

No. 3
## CsNiS (PBE-GGA)

Data for a relaxed CsNiS crystal.

## Properties
Symmetry: P1 (1)
ΔE_f (raw) in eV per atom: -0.4957

abc: 4.085 5.062 5.078
angles: 89.72 82.66 86.39
Last column: magnetic moment on the atom in μB.
Positions (direct):
1 Ni 0.774 0.356 0.189  0.36
2 S 0.274 0.356 0.190  0.07
3 Cs 0.275 0.857 0.690  0.00

No. 4
## CsNiS (PBE-GGA)

Data for a relaxed CsNiS crystal.

## Properties
Symmetry: P-1 (2)
ΔE_f (raw) in eV per atom: -0.6892

abc: 3.980 7.679 6.878
angles: 66.90 73.33 59.17
Positions (direct):
1 S 0.331 0.310 0.711
2 S 0.665 0.687 0.294
3 Ni 0.810 0.396 0.582
4 Ni 0.186 0.601 0.422
5 Cs 0.288 0.805 0.810
6 Cs 0.707 0.191 0.195

The records above yield total magnetization values of 0.1 1.3 0.5 0.0 μB per formula unit, respectively.